[1]
An optimized crystal structure of MgCd2As, computed with PBE-GGA.

SG = P4/mmm (123)

Cell: 3.1258 3.1258 8.8916 Å, 90.00 90.00 90.00°
Element x y z (fractional)
Mg 0.0000 0.0000 0.0000
Cd 0.5000 0.5000 0.2499
Cd 0.5000 0.5000 0.7501
As 0.0000 0.0000 0.5000



[2]
An optimized crystal structure of Mg3CdAs, computed with PBE-GGA.

polymorph energy (0 for the lowest one) = 421.0 meV/atom
SG = Pm-3m (221)

Cell: 5.1485 5.1485 5.1485 Å, 90.00 90.00 90.00°
Element x y z (fractional)
Mg 0.0000 0.0000 0.5000
Mg 0.0000 0.5000 0.0000
Mg 0.5000 0.0000 0.0000
Cd 0.0000 0.0000 0.0000
As 0.5000 0.5000 0.5000



[3]
An optimized crystal structure of MgCd3As, computed with PBE-GGA.

polymorph energy (0 for the lowest one) = 0.0 meV/atom
SG = Pm-3m (221)

Cell: 5.3444 5.3444 5.3444 Å, 90.00 90.00 90.00°
Element x y z (fractional)
Mg 0.0000 0.0000 0.0000
Cd 0.0000 0.5000 0.5000
Cd 0.5000 0.0000 0.5000
Cd 0.5000 0.5000 0.0000
As 0.5000 0.5000 0.5000



[4]
An optimized crystal structure of Mg4CdAs, computed with PBE-GGA.

SG = F-43m (216)

Cell: 5.7616 5.7616 5.7616 Å, 60.00 60.00 60.00°
Element x y z (fractional)
Mg 0.1245 0.1245 0.1245
Mg 0.1245 0.1245 0.6266
Mg 0.1245 0.6266 0.1245
Mg 0.6266 0.1245 0.1245
Cd 0.5000 0.5000 0.5000
As 0.7500 0.7500 0.7500



[5]
An optimized crystal structure of MgCd2As, computed with PBE-GGA.

SG = Cmmm (65)

Cell: 5.8309 9.1117 3.2450 Å, 90.00 90.00 90.00°
Element x y z (fractional)
Mg 0.0000 0.0000 0.0000
Mg 0.5000 0.5000 0.0000
Cd 0.2500 0.2500 0.5000
Cd 0.2500 0.7500 0.5000
Cd 0.7500 0.2500 0.5000
Cd 0.7500 0.7500 0.5000
As 0.0000 0.5000 0.0000
As 0.5000 0.0000 0.0000



[6]
An optimized crystal structure of MgCd4As, computed with PBE-GGA.

SG = F-43m (216)

Cell: 5.7945 5.7945 5.7945 Å, 60.00 60.00 60.00°
Element x y z (fractional)
Mg 0.0000 0.0000 0.0000
Cd 0.3752 0.3752 0.3752
Cd 0.3752 0.3752 0.8743
Cd 0.3752 0.8743 0.3752
Cd 0.8743 0.3752 0.3752
As 0.7500 0.7500 0.7500



[7]
An optimized crystal structure of MgCdAs, computed with PBE-GGA.

polymorph energy (0 for the lowest one) = 87.8 meV/atom
SG = Imm2 (44)

Cell: 3.1418 4.0042 10.2755 Å, 90.00 90.00 90.00°
Element x y z (fractional)
Mg 0.0000 0.0000 0.0000
Mg 0.5000 0.5000 0.5000
Cd 0.0000 0.0000 0.3114
Cd 0.5000 0.5000 0.8114
As 0.0000 0.0000 0.6218
As 0.5000 0.5000 0.1218



[8]
An optimized crystal structure of MgCd2As, computed with PBE-GGA.

SG = F-43m (216)

Cell: 7.0749 7.0749 7.0749 Å, 90.00 90.00 90.00°
Element x y z (fractional)
Mg 0.0000 0.0000 0.0000
Mg 0.0000 0.5000 0.5000
Mg 0.5000 0.0000 0.5000
Mg 0.5000 0.5000 0.0000
Cd 0.0000 0.0000 0.5000
Cd 0.0000 0.5000 0.0000
Cd 0.2500 0.2500 0.7500
Cd 0.2500 0.7500 0.2500
Cd 0.5000 0.0000 0.0000
Cd 0.5000 0.5000 0.5000
Cd 0.7500 0.2500 0.2500
Cd 0.7500 0.7500 0.7500
As 0.2500 0.2500 0.2500
As 0.2500 0.7500 0.7500
As 0.7500 0.2500 0.7500
As 0.7500 0.7500 0.2500



Number 1: magnetic moment 0.000 μB/cell, energy of formation from the pure elements 0.075 eV/atom. Number 2: magnetic moment 0.000 μB/cell, energy of formation from the pure elements 0.417 eV/atom. Number 3: magnetic moment 0.000 μB/cell, energy of formation from the pure elements 0.308 eV/atom. Number 4: magnetic moment 0.000 μB/cell, energy of formation from the pure elements 0.114 eV/atom. Number 5: magnetic moment 0.000 μB/cell, energy of formation from the pure elements -0.002 eV/atom. Number 6: magnetic moment 0.000 μB/cell, energy of formation from the pure elements 0.164 eV/atom. Number 7: magnetic moment 0.000 μB/cell, energy of formation from the pure elements -0.059 eV/atom. Number 8: magnetic moment 0.000 μB/cell, energy of formation from the pure elements 0.023 eV/atom.